Entry 1:
VASP calculation (PBE-GGA) on LaMg2 after structural relaxation.

Cell lengths 6.062, 6.062, 5.367 Å; angles 90.00, 90.00, 120.00 degrees
Positions (direct):
La 0.333 0.667 0.000
La 0.667 0.333 0.000
Mg 0.000 0.000 0.000
Mg 0.000 0.700 0.500
Mg 0.300 0.300 0.500
Mg 0.700 0.000 0.500

D(E_F) = 4.915 states/eV/cell
Symmetry = P-62m (189)
Formation enthalpy at 0 K = -0.004 eV per atom
Raw total energy = -2.71 eV/atom

---

Entry 2:
VASP calculation (PBE-GGA) on LaCd3Fe after structural relaxation.

Cell lengths 5.022, 5.022, 5.022 Å; angles 90.00, 90.00, 90.00 degrees
Positions (direct):
La 0.000 0.000 0.000
Cd 0.000 0.500 0.500
Cd 0.500 0.000 0.500
Cd 0.500 0.500 0.000
Fe 0.500 0.500 0.500

Energy relative to the lowest polymorph listed for this composition = 0 meV/atom
D(E_F) = 3.711 states/eV/cell
Symmetry = Pm-3m (221)
Formation enthalpy at 0 K = 0.113 eV per atom
Raw total energy = -3.11 eV/atom

---

Entry 3:
VASP calculation (PBE-GGA) on Tb2Er2Ga4Au after structural relaxation.

Cell lengths 6.638, 6.638, 6.638 Å; angles 116.25, 116.25, 96.63 degrees
Positions (direct):
Tb 0.250 0.750 0.500
Tb 0.750 0.250 0.500
Er 0.186 0.186 0.000
Er 0.814 0.814 0.000
Ga 0.245 0.245 0.490
Ga 0.245 0.755 0.000
Ga 0.755 0.245 0.000
Ga 0.755 0.755 0.510
Au 0.500 0.500 0.000

D(E_F) = 6.941 states/eV/cell
Symmetry = I4/mmm (139)
Formation enthalpy at 0 K = -0.354 eV per atom
Raw total energy = -4.11 eV/atom

---

Entry 4:
VASP calculation (PBE-GGA) on MgZnTe2 after structural relaxation.

Cell lengths 4.417, 4.417, 7.353 Å; angles 90.00, 90.00, 120.00 degrees
Positions (direct):
Mg 0.000 0.000 0.000
Zn 0.667 0.333 0.501
Te 0.000 0.000 0.395
Te 0.333 0.667 0.855

D(E_F) = 0.000 states/eV/cell
Symmetry = P3m1 (156)
Raw total energy = -2.79 eV/atom

---

Entry 5:
VASP calculation (PBE-GGA) on Fe6NiIr2 after structural relaxation.

Cell lengths 7.015, 7.015, 2.536 Å; angles 90.00, 90.00, 119.95 degrees
Positions (direct):
Fe 0.000 0.330 0.000
Fe 0.000 0.670 0.000
Fe 0.330 0.000 0.000
Fe 0.330 0.330 0.000
Fe 0.670 0.000 0.000
Fe 0.670 0.670 0.000
Ni 0.000 0.000 0.500
Ir 0.333 0.667 0.500
Ir 0.667 0.333 0.500

D(E_F) = 12.749 states/eV/cell
Symmetry = Cmmm (65)
Formation enthalpy at 0 K = 0.108 eV per atom
Raw total energy = -8.14 eV/atom

---

Entry 6:
VASP calculation (PBE-GGA) on Tb2Pt2O7 after structural relaxation.

Cell lengths 7.294, 7.294, 7.294 Å; angles 60.00, 60.00, 60.00 degrees
Positions (direct):
Tb 0.000 0.000 0.000
Tb 0.000 0.000 0.500
Tb 0.000 0.500 0.000
Tb 0.500 0.000 0.000
Pt 0.000 0.500 0.500
Pt 0.500 0.000 0.500
Pt 0.500 0.500 0.000
Pt 0.500 0.500 0.500
O 0.125 0.125 0.125
O 0.160 0.160 0.590
O 0.160 0.590 0.160
O 0.160 0.590 0.590
O 0.410 0.410 0.840
O 0.410 0.840 0.410
O 0.410 0.840 0.840
O 0.590 0.160 0.160
O 0.590 0.160 0.590
O 0.590 0.590 0.160
O 0.840 0.410 0.410
O 0.840 0.410 0.840
O 0.840 0.840 0.410
O 0.875 0.875 0.875

Symmetry = Fd-3m (227)
Raw total energy = -7.10 eV/atom